Computed, not measured: an optimized crystal structure of GaCoHgGe2 at the PBE-GGA level of DFT.

**Space-group type**: P4/mmm, No. 123
**VASP energy**: -3.8582 eV per atom
**DOS at the Fermi energy**: 4.0 states/eV per cell
**V**: 99 Å³/cell

Unit cell a=4.5949 b=4.5949 c=4.6731 alpha=90.00 beta=90.00 gamma=90.00
With the nearest neighbours (Å) after each atom.
Fractional coordinates of all 5 atoms:
Ga (0.0000, 0.0000, 0.0000)  2 Co 2.34
Co (0.0000, 0.0000, 0.5000)  4 Ge 2.30, 2 Ga 2.34
Hg (0.5000, 0.5000, 0.0000)  4 Ga 3.25, 8 Ge 3.28
Ge (0.0000, 0.5000, 0.5000)  2 Co 2.30
Ge (0.5000, 0.0000, 0.5000)  2 Co 2.30



Computed, not measured: an optimized crystal structure of Ho2Ga2Co5Ge at the PBE-GGA level of DFT.

**Space-group type**: P4/mbm, No. 127
**VASP energy**: -5.7841 eV per atom
**DOS at the Fermi energy**: 10.8 states/eV per cell
**V**: 294 Å³/cell

Unit cell a=9.4234 b=9.4234 c=3.3147 alpha=90.00 beta=90.00 gamma=90.00
With the nearest neighbours (Å) after each atom.
Fractional coordinates of all 20 atoms:
Ho (0.1737, 0.3263, 0.0000)  3 Ga 2.69-2.85, 10 Co 2.85-3.02
Ho (0.3263, 0.8263, 0.0000)  3 Ga 2.69-2.85, 10 Co 2.85-3.02
Ho (0.6737, 0.1737, 0.0000)  3 Ga 2.69-2.85, 10 Co 2.85-3.02
Ho (0.8263, 0.6737, 0.0000)  3 Ga 2.69-2.85, 10 Co 2.85-3.02
Ga (0.1241, 0.6241, 0.0000)  6 Co 2.34-2.42
Ga (0.3759, 0.1241, 0.0000)  6 Co 2.34-2.42
Ga (0.6241, 0.8759, 0.0000)  6 Co 2.34-2.42
Ga (0.8759, 0.3759, 0.0000)  6 Co 2.34-2.42
Co (0.0000, 0.5000, 0.5000)  4 Ga 2.34
Co (0.0613, 0.8012, 0.5000)  2 Ga 2.42, 2 Ge 2.57
Co (0.1988, 0.0613, 0.5000)  2 Ga 2.42, 2 Ge 2.57
Co (0.3012, 0.5613, 0.5000)  2 Ga 2.42, 2 Ge 2.57
Co (0.4387, 0.3012, 0.5000)  2 Ga 2.42, 2 Ge 2.57
Co (0.5000, 0.0000, 0.5000)  4 Ga 2.34
Co (0.5613, 0.6988, 0.5000)  2 Ga 2.42, 2 Ge 2.57
Co (0.6988, 0.4387, 0.5000)  2 Ga 2.42, 2 Ge 2.57
Co (0.8012, 0.9387, 0.5000)  2 Ga 2.42, 2 Ge 2.57
Co (0.9387, 0.1988, 0.5000)  2 Ga 2.42, 2 Ge 2.57
Ge (0.0000, 0.0000, 0.0000)  8 Co 2.57
Ge (0.5000, 0.5000, 0.0000)  8 Co 2.57



Computed, not measured: an optimized crystal structure of GaCoGe2I at the PBE-GGA level of DFT.

**Space-group type**: P4/mmm, No. 123
**VASP energy**: -3.4326 eV per atom
**DOS at the Fermi energy**: 5.1 states/eV per cell
**E_form (uncorrected)**: 0.751 eV per atom
**V**: 121 Å³/cell

Unit cell a=5.0706 b=5.0706 c=4.7106 alpha=90.00 beta=90.00 gamma=90.00
With the nearest neighbours (Å) after each atom.
Fractional coordinates of all 5 atoms:
Ga (0.0000, 0.0000, 0.0000)  2 Co 2.36, 4 Ge 2.54
Co (0.0000, 0.0000, 0.5000)  2 Ga 2.36
Ge (0.0000, 0.5000, 0.0000)  2 Ga 2.54
Ge (0.5000, 0.0000, 0.0000)  2 Ga 2.54
I (0.5000, 0.5000, 0.5000)  8 Ge 3.46, 4 Co 3.59



Computed, not measured: an optimized crystal structure of InGa2CoGe at the PBE-GGA level of DFT.

**Space-group type**: P4/mmm, No. 123
**VASP energy**: -4.0917 eV per atom
**DOS at the Fermi energy**: 4.2 states/eV per cell
**V**: 99 Å³/cell

Unit cell a=4.6872 b=4.6872 c=4.5202 alpha=90.00 beta=90.00 gamma=90.00
With the nearest neighbours (Å) after each atom.
Fractional coordinates of all 5 atoms:
In (0.0000, 0.0000, 0.0000)  8 Ga 3.26, 4 Ge 3.31
Ga (0.0000, 0.5000, 0.5000)  2 Co 2.34
Ga (0.5000, 0.0000, 0.5000)  2 Co 2.34
Co (0.5000, 0.5000, 0.5000)  2 Ge 2.26, 4 Ga 2.34
Ge (0.5000, 0.5000, 0.0000)  2 Co 2.26